[1]
VASP calculation (GGA-PBE) on a relaxed K4AgBr crystal.

Output
Space-group type: F-43m (216)
Formation energy (no corrections), eV per atom: -0.07

Lattice parameters (Å, degrees): 7.4376 7.4376 7.4376 60.00 60.00 60.00
Fractional coordinates of all 6 atoms:
K1 0.1249 0.1249 0.1249
K2 0.1249 0.1249 0.6252
K3 0.1249 0.6252 0.1249
K4 0.6252 0.1249 0.1249
Ag1 0.7500 0.7500 0.7500
Br1 0.5000 0.5000 0.5000

---

[2]
VASP calculation (GGA-PBE) on a relaxed KAg2Br crystal.

Output
Space-group type: Pm (6)
Formation energy (no corrections), eV per atom: -0.42

Lattice parameters (Å, degrees): 3.9519 3.8310 7.6762 90.00 104.82 90.00
Fractional coordinates of all 4 atoms:
K1 0.0000 0.0000 0.0000
Ag1 0.3185 0.5000 0.6281
Ag2 0.7731 0.0000 0.5362
Br1 0.6058 0.5000 0.2127

---

[3]
VASP calculation (GGA-PBE) on a relaxed KAg2Br crystal.

Output
Space-group type: Immm (71)
Formation energy (no corrections), eV per atom: -0.32

Lattice parameters (Å, degrees): 7.3235 7.3235 7.3235 150.06 143.40 47.98
Fractional coordinates of all 4 atoms:
K1 0.0000 0.0000 0.0000
Ag1 0.2605 0.7605 0.5000
Ag2 0.7395 0.2395 0.5000
Br1 0.5000 0.5000 0.0000

---

[4]
VASP calculation (GGA-PBE) on a relaxed KAg2Br crystal.

Output
Space-group type: Fm-3m (225)
Formation energy (no corrections), eV per atom: 0.11

Lattice parameters (Å, degrees): 5.3961 5.3961 5.3961 60.00 60.00 60.00
Fractional coordinates of all 4 atoms:
K1 0.0000 0.0000 0.0000
Ag1 0.2500 0.2500 0.2500
Ag2 0.7500 0.7500 0.7500
Br1 0.5000 0.5000 0.5000

---

[5]
VASP calculation (GGA-PBE) on a relaxed K3Ag2Br9 crystal.

Output
Space-group type: P-3m1 (164)
Formation energy (no corrections), eV per atom: -0.78

Lattice parameters (Å, degrees): 7.4449 7.4449 9.3243 90.00 90.00 120.00
Fractional coordinates of all 14 atoms:
K1 0.0000 0.0000 0.0000
K2 0.3333 0.6667 0.3561
K3 0.6667 0.3333 0.6439
Ag1 0.3333 0.6667 0.8271
Ag2 0.6667 0.3333 0.1729
Br1 0.0000 0.5000 0.0000
Br2 0.1638 0.3276 0.6717
Br3 0.1638 0.8362 0.6717
Br4 0.3276 0.1638 0.3283
Br5 0.5000 0.0000 0.0000
Br6 0.5000 0.5000 0.0000
Br7 0.6724 0.8362 0.6717
Br8 0.8362 0.1638 0.3283
Br9 0.8362 0.6724 0.3283

---

[6]
VASP calculation (GGA-PBE) on a relaxed KAg2Br3 crystal.

Output
Space-group type: Cmcm (63)
Formation energy (no corrections), eV per atom: -0.78

Lattice parameters (Å, degrees): 8.5647 8.5647 5.7525 90.00 90.00 108.43
Fractional coordinates of all 12 atoms:
K1 0.2376 0.7624 0.7500
K2 0.7624 0.2376 0.2500
Ag1 0.3008 0.3008 0.0000
Ag2 0.3008 0.3008 0.5000
Ag3 0.6992 0.6992 0.0000
Ag4 0.6992 0.6992 0.5000
Br1 0.0545 0.3415 0.7500
Br2 0.3415 0.0545 0.2500
Br3 0.3913 0.6087 0.2500
Br4 0.6087 0.3913 0.7500
Br5 0.6585 0.9455 0.7500
Br6 0.9455 0.6585 0.2500

---

- Which value of formation energy (no corrections) does entry 2 give?
  -0.42 eV per atom

---

- Which of these has the highest formation energy (no corrections)?
  number 4

---

- Among the records above, which one has the highest formation energy (no corrections)?
  number 4